Below is a relaxed Hf4TlRe crystal, with properties calculated at the GGA-PBE level.

```
Hf4TlRe
1.0
3.296 -0.001 0.000
0.001 3.296 0.000
-0.001 -0.001 11.521
Hf Re Tl
4 1 1
direct
0.000 0.000 0.318
0.500 0.500 0.862
0.500 0.500 0.138
0.000 0.000 0.682
0.000 0.000 0.000
0.500 0.500 0.500
```

Summary:
* crystal system: tetragonal
* volume: 125.2 Å³ per cell
* E_form: -0.092 eV/atom
* uncorrected energy: -9.197 eV per atom
* energy above the lowest structure with this stoichiometry: 0 meV per atom